# LiHfTh2 | Alexandria via LeMat-Bulk | GGA-PBE | relaxed
# **E_tot**: -6.51 eV per atom
# **D(E_F)**: 1.30 states/eV/atom
# **ΔE to the lowest computed polymorph**: 0.0 meV per atom
# **Energy relative to the elements**: 0.68 eV/f.u.
data_LiHfTh2
_chemical_formula_sum 'Li1 Hf1 Th2'
_space_group_name_H-M_alt 'P 4/m m m'
_space_group_IT_number 123
_space_group_name_Hall '-P 4 2'
_cell_length_a 3.3875
_cell_length_b 3.3875
_cell_length_c 9.5541
_cell_angle_alpha 90.00
_cell_angle_beta 90.00
_cell_angle_gamma 90.00
loop_
_atom_site_label
_atom_site_fract_x
_atom_site_fract_y
_atom_site_fract_z
Li1 0.0000 0.0000 0.0000
Hf1 0.0000 0.0000 0.5000
Th1 0.5000 0.5000 0.2551

# LiHfTh2 | Alexandria via LeMat-Bulk | GGA-PBE | relaxed
# **E_tot**: -6.46 eV per atom
# **D(E_F)**: 1.52 states/eV/atom
# **ΔE to the lowest computed polymorph**: 51.5 meV per atom
# **Energy relative to the elements**: 0.88 eV/f.u.
data_LiHfTh2
_chemical_formula_sum 'Li1 Hf1 Th2'
_space_group_name_H-M_alt 'P 4/m m m'
_space_group_IT_number 123
_space_group_name_Hall '-P 4 2'
_cell_length_a 5.5335
_cell_length_b 5.5335
_cell_length_c 3.5059
_cell_angle_alpha 90.00
_cell_angle_beta 90.00
_cell_angle_gamma 90.00
loop_
_atom_site_label
_atom_site_fract_x
_atom_site_fract_y
_atom_site_fract_z
Li1 0.0000 0.0000 0.0000
Hf1 0.5000 0.5000 0.0000
Th1 0.0000 0.5000 0.5000

# LiHfTh2 | Alexandria via LeMat-Bulk | GGA-PBE | relaxed
# **E_tot**: -6.39 eV per atom
# **D(E_F)**: 1.64 states/eV/atom
# **ΔE to the lowest computed polymorph**: 119.1 meV per atom
# **Energy relative to the elements**: 1.15 eV/f.u.
data_LiHfTh2
_chemical_formula_sum 'Li3 Hf3 Th6'
_space_group_name_H-M_alt 'R -3 m'
_space_group_IT_number 166
_space_group_name_Hall '-R 3 2"'
_cell_length_a 3.3224
_cell_length_b 3.3224
_cell_length_c 36.3497
_cell_angle_alpha 90.00
_cell_angle_beta 90.00
_cell_angle_gamma 120.00
loop_
_atom_site_label
_atom_site_fract_x
_atom_site_fract_y
_atom_site_fract_z
Li1 0.0000 0.0000 0.0000
Hf1 0.0000 0.0000 0.5000
Th1 0.0000 0.0000 0.0906

# LiHfTi | Alexandria via LeMat-Bulk | GGA-PBE | relaxed
# **E_tot**: -6.41 eV per atom
# **D(E_F)**: 0.67 states/eV/atom
# **ΔE to the lowest computed polymorph**: 44.4 meV per atom
# **Energy relative to the elements**: 0.52 eV/f.u.
data_LiHfTi
_chemical_formula_sum 'Li2 Hf2 Ti2'
_space_group_name_H-M_alt 'I 4 m m'
_space_group_IT_number 107
_space_group_name_Hall 'I 4 -2'
_cell_length_a 3.0385
_cell_length_b 3.0385
_cell_length_c 12.7612
_cell_angle_alpha 90.00
_cell_angle_beta 90.00
_cell_angle_gamma 90.00
loop_
_atom_site_label
_atom_site_fract_x
_atom_site_fract_y
_atom_site_fract_z
Li1 0.0000 0.0000 0.0000
Hf1 0.0000 0.0000 0.6826
Ti1 0.0000 0.0000 0.3326

# LiHfTi | Alexandria via LeMat-Bulk | GGA-PBE | relaxed
# **E_tot**: -6.40 eV per atom
# **D(E_F)**: 1.01 states/eV/atom
# **ΔE to the lowest computed polymorph**: 55.9 meV per atom
# **Energy relative to the elements**: 0.56 eV/f.u.
data_LiHfTi
_chemical_formula_sum 'Li2 Hf2 Ti2'
_space_group_name_H-M_alt 'P -1'
_space_group_IT_number 2
_cell_length_a 3.0834
_cell_length_b 5.0923
_cell_length_c 7.6738
_cell_angle_alpha 84.92
_cell_angle_beta 89.95
_cell_angle_gamma 89.76
loop_
_space_group_symop_operation_xyz
'x,y,z'
'-x,-y,-z'
loop_
_atom_site_label
_atom_site_fract_x
_atom_site_fract_y
_atom_site_fract_z
Li1 0.2491 0.2624 0.4840
Hf1 0.2512 0.9045 0.1605
Ti1 0.2499 0.5931 0.8583

# LiHfTi | Alexandria via LeMat-Bulk | GGA-PBE | relaxed
# **E_tot**: -6.46 eV per atom
# **D(E_F)**: 0.59 states/eV/atom
# **ΔE to the lowest computed polymorph**: 0.0 meV per atom
# **Energy relative to the elements**: 0.39 eV/f.u.
data_LiHfTi
_chemical_formula_sum 'Li2 Hf2 Ti2'
_space_group_name_H-M_alt 'P 4/n m m'
_space_group_IT_number 129
_cell_length_a 2.9835
_cell_length_b 2.9835
_cell_length_c 13.5448
_cell_angle_alpha 90.00
_cell_angle_beta 90.00
_cell_angle_gamma 90.00
loop_
_space_group_symop_operation_xyz
'x,y,z'
'-x,-y,-z'
'-y+1/2,x,z'
'y+1/2,-x,-z'
'-x+1/2,-y+1/2,z'
'x+1/2,y+1/2,-z'
'y,-x+1/2,z'
'-y,x+1/2,-z'
'x+1/2,-y,-z'
'-x+1/2,y,z'
'-y,-x,-z'
'y,x,z'
'-x,y+1/2,-z'
'x,-y+1/2,z'
'y+1/2,x+1/2,-z'
'-y+1/2,-x+1/2,z'
loop_
_atom_site_label
_atom_site_fract_x
_atom_site_fract_y
_atom_site_fract_z
Li1 0.2500 0.2500 0.0777
Hf1 0.2500 0.2500 0.3940
Ti1 0.2500 0.2500 0.7528

# Li3HfTi | Alexandria via LeMat-Bulk | GGA-PBE | relaxed
# **E_tot**: -3.51 eV per atom
# **D(E_F)**: 1.49 states/eV/atom
# **Energy relative to the elements**: 6.04 eV/f.u.
data_Li3HfTi
_chemical_formula_sum 'Li3 Hf1 Ti1'
_space_group_name_H-M_alt 'P m -3 m'
_space_group_IT_number 221
_space_group_name_Hall '-P 4 2 3'
_cell_length_a 4.5917
_cell_length_b 4.5917
_cell_length_c 4.5917
_cell_angle_alpha 90.00
_cell_angle_beta 90.00
_cell_angle_gamma 90.00
loop_
_atom_site_label
_atom_site_fract_x
_atom_site_fract_y
_atom_site_fract_z
Li1 0.0000 0.0000 0.5000
Hf1 0.5000 0.5000 0.5000
Ti1 0.0000 0.0000 0.0000

# LiHfTi3 | Alexandria via LeMat-Bulk | GGA-PBE | relaxed
# **E_tot**: -5.92 eV per atom
# **D(E_F)**: 2.03 states/eV/atom
# **ΔE to the lowest computed polymorph**: 401.0 meV per atom
# **Energy relative to the elements**: 5.93 eV/f.u.
data_LiHfTi3
_chemical_formula_sum 'Li1 Hf1 Ti3'
_space_group_name_H-M_alt 'P m -3 m'
_space_group_IT_number 221
_space_group_name_Hall '-P 4 2 3'
_cell_length_a 4.9369
_cell_length_b 4.9369
_cell_length_c 4.9369
_cell_angle_alpha 90.00
_cell_angle_beta 90.00
_cell_angle_gamma 90.00
loop_
_atom_site_label
_atom_site_fract_x
_atom_site_fract_y
_atom_site_fract_z
Li1 0.0000 0.0000 0.0000
Hf1 0.5000 0.5000 0.5000
Ti1 0.0000 0.5000 0.5000

# LiHf2Ti2 | Alexandria via LeMat-Bulk | GGA-PBE | relaxed
# **E_tot**: -7.23 eV per atom
# **D(E_F)**: 1.26 states/eV/atom
# **Energy relative to the elements**: 1.48 eV/f.u.
data_LiHf2Ti2
_chemical_formula_sum 'Li2 Hf4 Ti4'
_space_group_name_H-M_alt 'P 4/m b m'
_space_group_IT_number 127
_space_group_name_Hall '-P 4 2ab'
_cell_length_a 7.0842
_cell_length_b 7.0842
_cell_length_c 3.9233
_cell_angle_alpha 90.00
_cell_angle_beta 90.00
_cell_angle_gamma 90.00
loop_
_atom_site_label
_atom_site_fract_x
_atom_site_fract_y
_atom_site_fract_z
Li1 0.0000 0.0000 0.0000
Hf1 0.1532 0.3468 0.5000
Ti1 0.1375 0.6375 0.0000

# LiHfTi3 | Alexandria via LeMat-Bulk | GGA-PBE | relaxed
# **E_tot**: -6.32 eV per atom
# **D(E_F)**: 1.73 states/eV/atom
# **ΔE to the lowest computed polymorph**: 0.0 meV per atom
# **Energy relative to the elements**: 3.93 eV/f.u.
data_LiHfTi3
_chemical_formula_sum 'Li1 Hf1 Ti3'
_space_group_name_H-M_alt 'P m -3 m'
_space_group_IT_number 221
_space_group_name_Hall '-P 4 2 3'
_cell_length_a 4.5053
_cell_length_b 4.5053
_cell_length_c 4.5053
_cell_angle_alpha 90.00
_cell_angle_beta 90.00
_cell_angle_gamma 90.00
loop_
_atom_site_label
_atom_site_fract_x
_atom_site_fract_y
_atom_site_fract_z
Li1 0.0000 0.0000 0.0000
Hf1 0.5000 0.5000 0.5000
Ti1 0.0000 0.0000 0.5000

# LiHfTiW | Alexandria via LeMat-Bulk | GGA-PBE | relaxed
# **E_tot**: -8.03 eV per atom
# **D(E_F)**: 0.55 states/eV/atom
# **Energy relative to the elements**: 0.59 eV/f.u.
data_LiHfTiW
_chemical_formula_sum 'Li4 Hf4 Ti4 W4'
_space_group_name_H-M_alt 'F -4 3 m'
_space_group_IT_number 216
_space_group_name_Hall 'F -4 2 3'
_cell_length_a 6.4721
_cell_length_b 6.4721
_cell_length_c 6.4721
_cell_angle_alpha 90.00
_cell_angle_beta 90.00
_cell_angle_gamma 90.00
loop_
_atom_site_label
_atom_site_fract_x
_atom_site_fract_y
_atom_site_fract_z
Li1 0.0000 0.0000 0.0000
Hf1 0.2500 0.2500 0.7500
Ti1 0.2500 0.2500 0.2500
W1 0.0000 0.0000 0.5000

# LiHfTl | Alexandria via LeMat-Bulk | GGA-PBE | relaxed
# **E_tot**: -3.65 eV per atom
# **D(E_F)**: 0.94 states/eV/atom
# **ΔE to the lowest computed polymorph**: 1205.1 meV per atom
# **Energy relative to the elements**: 3.28 eV/f.u.
data_LiHfTl
_chemical_formula_sum 'Li2 Hf2 Tl2'
_space_group_name_H-M_alt 'P 63/m m c'
_space_group_IT_number 194
_space_group_name_Hall '-P 6c 2c'
_cell_length_a 4.0724
_cell_length_b 4.0724
_cell_length_c 11.4457
_cell_angle_alpha 90.00
_cell_angle_beta 90.00
_cell_angle_gamma 120.00
loop_
_atom_site_label
_atom_site_fract_x
_atom_site_fract_y
_atom_site_fract_z
Li1 0.3333 0.6667 0.2500
Hf1 0.0000 0.0000 0.0000
Tl1 0.0000 0.0000 0.2500

# LiHfTl | Alexandria via LeMat-Bulk | GGA-PBE | relaxed
# **E_tot**: -4.86 eV per atom
# **D(E_F)**: 0.50 states/eV/atom
# **ΔE to the lowest computed polymorph**: 0.0 meV per atom
# **Energy relative to the elements**: -0.33 eV/f.u.
data_LiHfTl
_chemical_formula_sum 'Li2 Hf2 Tl2'
_space_group_name_H-M_alt 'P 4/n m m'
_space_group_IT_number 129
_cell_length_a 3.2326
_cell_length_b 3.2326
_cell_length_c 11.8796
_cell_angle_alpha 90.00
_cell_angle_beta 90.00
_cell_angle_gamma 90.00
loop_
_space_group_symop_operation_xyz
'x,y,z'
'-x,-y,-z'
'-y+1/2,x,z'
'y+1/2,-x,-z'
'-x+1/2,-y+1/2,z'
'x+1/2,y+1/2,-z'
'y,-x+1/2,z'
'-y,x+1/2,-z'
'x+1/2,-y,-z'
'-x+1/2,y,z'
'-y,-x,-z'
'y,x,z'
'-x,y+1/2,-z'
'x,-y+1/2,z'
'y+1/2,x+1/2,-z'
'-y+1/2,-x+1/2,z'
loop_
_atom_site_label
_atom_site_fract_x
_atom_site_fract_y
_atom_site_fract_z
Li1 0.2500 0.2500 0.0703
Hf1 0.2500 0.2500 0.4121
Tl1 0.2500 0.2500 0.7874

# LiHf2Tl | Alexandria via LeMat-Bulk | GGA-PBE | relaxed
# **E_tot**: -5.82 eV per atom
# **D(E_F)**: 0.55 states/eV/atom
# **ΔE to the lowest computed polymorph**: 0.0 meV per atom
# **Energy relative to the elements**: 0.90 eV/f.u.
data_LiHf2Tl
_chemical_formula_sum 'Li4 Hf8 Tl4'
_space_group_name_H-M_alt 'F m -3 m'
_space_group_IT_number 225
_space_group_name_Hall '-F 4 2 3'
_cell_length_a 6.8991
_cell_length_b 6.8991
_cell_length_c 6.8991
_cell_angle_alpha 90.00
_cell_angle_beta 90.00
_cell_angle_gamma 90.00
loop_
_atom_site_label
_atom_site_fract_x
_atom_site_fract_y
_atom_site_fract_z
Li1 0.0000 0.0000 0.0000
Hf1 0.2500 0.2500 0.2500
Tl1 0.0000 0.0000 0.5000

# LiHf2Tl2 | Alexandria via LeMat-Bulk | GGA-PBE | relaxed
# **E_tot**: -5.08 eV per atom
# **D(E_F)**: 0.84 states/eV/atom
# **ΔE to the lowest computed polymorph**: 52.3 meV per atom
# **Energy relative to the elements**: 1.14 eV/f.u.
data_LiHf2Tl2
_chemical_formula_sum 'Li2 Hf4 Tl4'
_space_group_name_H-M_alt 'P 4/m b m'
_space_group_IT_number 127
_space_group_name_Hall '-P 4 2ab'
_cell_length_a 8.7998
_cell_length_b 8.7998
_cell_length_c 3.1495
_cell_angle_alpha 90.00
_cell_angle_beta 90.00
_cell_angle_gamma 90.00
loop_
_atom_site_label
_atom_site_fract_x
_atom_site_fract_y
_atom_site_fract_z
Li1 0.0000 0.0000 0.0000
Hf1 0.1214 0.3786 0.0000
Tl1 0.1768 0.6768 0.5000

# LiHfTl | Alexandria via LeMat-Bulk | GGA-PBE | relaxed
# **E_tot**: -4.78 eV per atom
# **D(E_F)**: 0.72 states/eV/atom
# **ΔE to the lowest computed polymorph**: 76.6 meV per atom
# **Energy relative to the elements**: -0.11 eV/f.u.
data_LiHfTl
_chemical_formula_sum 'Li4 Hf4 Tl4'
_space_group_name_H-M_alt 'C 1 m 1'
_space_group_IT_number 8
_cell_length_a 5.5662
_cell_length_b 3.3628
_cell_length_c 14.8763
_cell_angle_alpha 90.00
_cell_angle_beta 96.07
_cell_angle_gamma 90.00
loop_
_space_group_symop_operation_xyz
'x,y,z'
'x,-y,z'
'x+1/2,y+1/2,z'
'x+1/2,-y+1/2,z'
loop_
_atom_site_label
_atom_site_fract_x
_atom_site_fract_y
_atom_site_fract_z
Li1 0.0000 0.0000 0.0000
Li2 0.1718 0.5000 0.1750
Hf1 0.0092 0.5000 0.5088
Hf2 0.3998 0.5000 0.6672
Tl1 0.0841 0.0000 0.3298
Tl2 0.3017 0.0000 0.8462

# LiHfTl | Alexandria via LeMat-Bulk | GGA-PBE | relaxed
# **E_tot**: -4.80 eV per atom
# **D(E_F)**: 0.69 states/eV/atom
# **ΔE to the lowest computed polymorph**: 51.6 meV per atom
# **Energy relative to the elements**: -0.18 eV/f.u.
data_LiHfTl
_chemical_formula_sum 'Li2 Hf2 Tl2'
_space_group_name_H-M_alt 'P 4 m m'
_space_group_IT_number 99
_cell_length_a 3.2302
_cell_length_b 3.2302
_cell_length_c 12.3306
_cell_angle_alpha 90.00
_cell_angle_beta 90.00
_cell_angle_gamma 90.00
loop_
_space_group_symop_operation_xyz
'x,y,z'
'-y,x,z'
'-x,-y,z'
'y,-x,z'
'-x,y,z'
'y,x,z'
'x,-y,z'
'-y,-x,z'
loop_
_atom_site_label
_atom_site_fract_x
_atom_site_fract_y
_atom_site_fract_z
Li1 0.0000 0.0000 0.0000
Li2 0.0000 0.0000 0.3024
Hf1 0.0000 0.0000 0.6588
Hf2 0.5000 0.5000 0.8215
Tl1 0.5000 0.5000 0.1405
Tl2 0.5000 0.5000 0.4608

# LiHfTl | Alexandria via LeMat-Bulk | GGA-PBE | relaxed
# **E_tot**: -4.45 eV per atom
# **D(E_F)**: 0.36 states/eV/atom
# **ΔE to the lowest computed polymorph**: 407.2 meV per atom
# **Energy relative to the elements**: 0.89 eV/f.u.
data_LiHfTl
_chemical_formula_sum 'Li1 Hf1 Tl1'
_space_group_name_H-M_alt 'P -6 m 2'
_space_group_IT_number 187
_space_group_name_Hall 'P -6 2'
_cell_length_a 5.0531
_cell_length_b 5.0531
_cell_length_c 3.1043
_cell_angle_alpha 90.00
_cell_angle_beta 90.00
_cell_angle_gamma 120.00
loop_
_atom_site_label
_atom_site_fract_x
_atom_site_fract_y
_atom_site_fract_z
Li1 0.0000 0.0000 0.0000
Hf1 0.6667 0.3333 0.5000
Tl1 0.3333 0.6667 0.5000

# LiHfTl | Alexandria via LeMat-Bulk | GGA-PBE | relaxed
# **E_tot**: -4.71 eV per atom
# **D(E_F)**: 0.57 states/eV/atom
# **ΔE to the lowest computed polymorph**: 148.0 meV per atom
# **Energy relative to the elements**: 0.11 eV/f.u.
data_LiHfTl
_chemical_formula_sum 'Li4 Hf4 Tl4'
_space_group_name_H-M_alt 'C 1 m 1'
_space_group_IT_number 8
_cell_length_a 15.7995
_cell_length_b 3.1750
_cell_length_c 5.1315
_cell_angle_alpha 90.00
_cell_angle_beta 94.26
_cell_angle_gamma 90.00
loop_
_space_group_symop_operation_xyz
'x,y,z'
'x,-y,z'
'x+1/2,y+1/2,z'
'x+1/2,-y+1/2,z'
loop_
_atom_site_label
_atom_site_fract_x
_atom_site_fract_y
_atom_site_fract_z
Li1 0.0000 0.0000 0.0000
Li2 0.1528 0.0000 0.4288
Hf1 0.3210 0.0000 0.1115
Hf2 0.3312 0.5000 0.6167
Tl1 0.1580 0.5000 0.9275
Tl2 0.4950 0.0000 0.4891

# LiHfTl3 | Alexandria via LeMat-Bulk | GGA-PBE | relaxed
# **E_tot**: -3.29 eV per atom
# **D(E_F)**: 0.29 states/eV/atom
# **ΔE to the lowest computed polymorph**: 43.4 meV per atom
# **Energy relative to the elements**: 2.51 eV/f.u.
data_LiHfTl3
_chemical_formula_sum 'Li1 Hf1 Tl3'
_space_group_name_H-M_alt 'P m -3 m'
_space_group_IT_number 221
_space_group_name_Hall '-P 4 2 3'
_cell_length_a 4.9484
_cell_length_b 4.9484
_cell_length_c 4.9484
_cell_angle_alpha 90.00
_cell_angle_beta 90.00
_cell_angle_gamma 90.00
loop_
_atom_site_label
_atom_site_fract_x
_atom_site_fract_y
_atom_site_fract_z
Li1 0.0000 0.0000 0.0000
Hf1 0.5000 0.5000 0.5000
Tl1 0.0000 0.0000 0.5000